No. 1
Density functional theory data (GGA-PBE) for DyOsNO after structural relaxation.

Values from the calculation:
As for the energy above the most stable polymorph in this dataset: 0.2771 eV/atom. The total moment comes out at 0.00 μB per formula unit. The value obtained for the total energy is -8.447 eV/atom.

Geometry as CIF:
```
data_DyOsNO
_chemical_formula_sum 'Dy2 Os2 N2 O2'
_symmetry_space_group_name_H-M 'P m c 21'
_symmetry_Int_Tables_number 26
_cell_length_a 3.758
_cell_length_b 5.469
_cell_length_c 4.991
_cell_angle_alpha 90.00
_cell_angle_beta 90.00
_cell_angle_gamma 90.00
loop_
_symmetry_equiv_pos_as_xyz
'x,y,z'
'-x,-y,z+1/2'
'-x,y,z'
'x,-y,z+1/2'
loop_
_atom_site_label
_atom_site_type_symbol
_atom_site_fract_x
_atom_site_fract_y
_atom_site_fract_z
Dy1 Dy 0.000 0.206 0.000
Os1 Os 0.500 0.358 0.501
N1 N 0.000 0.341 0.495
O1 O 0.500 0.051 0.765
```

***

No. 2
Density functional theory data (GGA-PBE) for Y2Cu2GePb after structural relaxation.

Values from the calculation:
The total moment comes out at 0.00 μB per formula unit. The value obtained for the total energy is -5.261 eV/atom.

Geometry as CIF:
```
data_Y2Cu2GePb
_chemical_formula_sum 'Y8 Cu8 Ge4 Pb4'
_symmetry_space_group_name_H-M 'P 1 m 1'
_symmetry_Int_Tables_number 6
_cell_length_a 11.096
_cell_length_b 4.535
_cell_length_c 11.108
_cell_angle_alpha 90.00
_cell_angle_beta 109.43
_cell_angle_gamma 90.00
loop_
_symmetry_equiv_pos_as_xyz
'x,y,z'
'x,-y,z'
loop_
_atom_site_label
_atom_site_type_symbol
_atom_site_fract_x
_atom_site_fract_y
_atom_site_fract_z
Y1 Y 0.000 0.000 0.000
Y2 Y 0.116 0.500 0.371
Y3 Y 0.238 0.000 0.742
Y4 Y 0.374 0.500 0.116
Y5 Y 0.509 0.000 0.491
Y6 Y 0.635 0.500 0.879
Y7 Y 0.754 0.000 0.249
Y8 Y 0.876 0.500 0.616
Cu1 Cu 0.118 0.500 0.619
Cu2 Cu 0.241 0.000 0.988
Cu3 Cu 0.382 0.500 0.370
Cu4 Cu 0.499 0.000 0.745
Cu5 Cu 0.634 0.500 0.132
Cu6 Cu 0.755 0.000 0.490
Cu7 Cu 0.887 0.500 0.876
Cu8 Cu 0.995 0.000 0.247
Ge1 Ge 0.122 0.500 0.870
Ge2 Ge 0.627 0.500 0.369
Ge3 Ge 0.876 0.500 0.124
Ge4 Ge 0.997 0.000 0.494
Pb1 Pb 0.250 0.000 0.247
Pb2 Pb 0.376 0.500 0.620
Pb3 Pb 0.500 0.000 0.995
Pb4 Pb 0.753 0.000 0.746
```

***

No. 3
Density functional theory data (GGA-PBE) for BeNb2Sn after structural relaxation.

Values from the calculation:
The total moment comes out at 0.00 μB per formula unit. The value obtained for the total energy is -6.663 eV/atom.

Geometry as CIF:
```
data_BeNb2Sn
_chemical_formula_sum 'Be4 Nb8 Sn4'
_symmetry_space_group_name_H-M 'F -4 3 m'
_symmetry_Int_Tables_number 216
_symmetry_space_group_name_Hall 'F -4 2 3'
_cell_length_a 6.504
_cell_length_b 6.504
_cell_length_c 6.504
_cell_angle_alpha 90.00
_cell_angle_beta 90.00
_cell_angle_gamma 90.00
loop_
_atom_site_label
_atom_site_type_symbol
_atom_site_fract_x
_atom_site_fract_y
_atom_site_fract_z
Be1 Be 0.000 0.000 0.000
Nb1 Nb 0.000 0.000 0.500
Nb2 Nb 0.250 0.250 0.250
Sn1 Sn 0.250 0.250 0.750
```

***

No. 4
Density functional theory data (GGA-PBE) for ZrSnPO after structural relaxation.

Values from the calculation:
As for the energy above the most stable polymorph in this dataset: 0.0000 eV/atom. The total moment comes out at 0.00 μB per formula unit. The value obtained for the total energy is -6.954 eV/atom.

Geometry as CIF:
```
data_ZrSnPO
_chemical_formula_sum 'Zr2 Sn2 P2 O2'
_symmetry_space_group_name_H-M 'P m c 21'
_symmetry_Int_Tables_number 26
_cell_length_a 3.925
_cell_length_b 7.667
_cell_length_c 5.423
_cell_angle_alpha 90.00
_cell_angle_beta 90.00
_cell_angle_gamma 90.00
loop_
_symmetry_equiv_pos_as_xyz
'x,y,z'
'-x,-y,z+1/2'
'-x,y,z'
'x,-y,z+1/2'
loop_
_atom_site_label
_atom_site_type_symbol
_atom_site_fract_x
_atom_site_fract_y
_atom_site_fract_z
Zr1 Zr 0.000 0.146 0.000
Sn1 Sn 0.500 0.411 0.571
P1 P 0.000 0.191 0.493
O1 O 0.500 0.210 0.990
```